(1)
Cs4Ac3PbO8 | PBE | relaxed

It has space group R-3m (No. 166, hexagonal axes), with a = 7.7373 Å, b = 7.7373 Å, c = 21.0298 Å, α = 90.00°, β = 90.00° and γ = 120.00°. Symmetry generates all atoms from Cs at (0.0000, 0.0000, 0.0000), Cs at (0.0000, 0.5000, 0.0000), Ac at (0.0000, 0.5000, 0.5000), Pb at (0.0000, 0.0000, 0.5000), O at (0.0000, 0.0000, 0.2239) and O at (0.0013, 0.5007, 0.2264).

The crystal system is trigonal. The volume is 22.715 Å³/atom. The raw total energy is -278.87 eV/cell. The calculation puts the total magnetization at 0.00 μB per cell. The density of states at the Fermi level comes out at 13.0 states/eV/cell.

(2)
Cs4Ac3PdO8 | PBE | relaxed

It has space group C2/m (No. 12), with a = 13.864 Å, b = 7.338 Å, c = 7.959 Å, α = 90.00°, β = 117.20° and γ = 90.00°. Symmetry generates all atoms from Cs at (0.000, 0.000, 0.000), Cs at (0.000, 0.500, 0.000), Cs at (0.250, 0.250, 0.000), Ac at (0.000, 0.000, 0.500), Ac at (0.250, 0.250, 0.500), Pd at (0.000, 0.500, 0.500), O at (0.035, 0.291, 0.357), O at (0.206, 0.000, 0.674) and O at (0.211, 0.000, 0.274).

The crystal system is monoclinic. The volume is 22.505 Å³/atom. The raw total energy is -184.54 eV/cell. The calculation puts the total magnetization at 2.08 μB per cell. The density of states at the Fermi level comes out at 22.3 states/eV/cell.

(3)
CsAcPdO4 | PBE | relaxed

It has space group P2_1/m (No. 11), with a = 6.326 Å, b = 5.750 Å, c = 8.376 Å, α = 90.00°, β = 101.18° and γ = 90.00°. Symmetry generates all atoms from Cs at (0.183, 0.250, 0.118), Ac at (0.218, 0.750, 0.478), Pd at (0.328, 0.250, 0.710), O at (0.090, 0.023, 0.689), O at (0.369, 0.750, 0.215) and O at (0.373, 0.250, 0.479).

The crystal system is monoclinic. The volume is 21.351 Å³/atom. The raw total energy is -81.19 eV/cell. The calculation puts the total magnetization at 0.00 μB per cell.

(4)
CsAcPdO3 | PBE | relaxed

It has space group C2/m (No. 12), with a = 14.040 Å, b = 4.093 Å, c = 8.420 Å, α = 90.00°, β = 104.98° and γ = 90.00°. Symmetry generates all atoms from Cs at (0.140, 0.000, 0.064), Ac at (0.149, 0.000, 0.578), Pd at (0.009, 0.500, 0.292), O at (0.009, 0.000, 0.325), O at (0.144, 0.500, 0.766) and O at (0.165, 0.500, 0.378).

The crystal system is monoclinic. The volume is 19.473 Å³/atom. The raw total energy is -145.86 eV/cell. The calculation puts the total magnetization at 0.00 μB per cell. The density of states at the Fermi level comes out at 3.7 states/eV/cell.

(5)
Cs2AcPdO4 | PBE | relaxed

It has space group Fddd (No. 70, origin choice 2), with a = 6.604 Å, b = 14.701 Å, c = 25.734 Å, α = 90.00°, β = 90.00° and γ = 90.00°. Symmetry generates all atoms from Cs at (0.125, 0.125, 0.315), Ac at (0.125, 0.125, 0.125), Pd at (0.125, 0.125, 0.625) and O at (0.098, 0.280, 0.875).

The crystal system is orthorhombic. The volume is 39.039 Å³/atom. The raw total energy is -333.94 eV/cell. The calculation puts the total magnetization at 0.00 μB per cell. The density of states at the Fermi level comes out at 30.3 states/eV/cell.

(6)
Cs2AcPmO4 | PBE | relaxed

It has space group P2/m (No. 10), with a = 6.578 Å, b = 3.791 Å, c = 7.314 Å, α = 90.00°, β = 107.43° and γ = 90.00°. Symmetry generates all atoms from Cs at (0.000, 0.000, 0.000), Cs at (0.500, 0.500, 0.000), Ac at (0.000, 0.500, 0.500), Pm at (0.500, 0.000, 0.500), O at (0.237, 0.000, 0.672) and O at (0.287, 0.500, 0.330).

The crystal system is monoclinic. The volume is 21.752 Å³/atom. The raw total energy is -50.45 eV/cell. The calculation puts the total magnetization at 0.00 μB per cell. The density of states at the Fermi level comes out at 0.0 states/eV/cell.

(7)
Cs2AcPrO4 | PBE | relaxed

It has space group P2/m (No. 10), with a = 6.631 Å, b = 3.825 Å, c = 7.331 Å, α = 90.00°, β = 107.54° and γ = 90.00°. Symmetry generates all atoms from Cs at (0.000, 0.000, 0.000), Cs at (0.500, 0.500, 0.000), Ac at (0.000, 0.500, 0.500), Pr at (0.500, 0.000, 0.500), O at (0.233, 0.000, 0.673) and O at (0.283, 0.500, 0.328).

The crystal system is monoclinic. The volume is 22.161 Å³/atom. The raw total energy is -50.31 eV/cell. The calculation puts the total magnetization at 0.00 μB per cell. The density of states at the Fermi level comes out at 0.0 states/eV/cell.

(8)
Cs4Ac3PtO8 | PBE | relaxed

It has space group C2/m (No. 12), with a = 13.915 Å, b = 7.332 Å, c = 7.913 Å, α = 90.00°, β = 115.99° and γ = 90.00°. Symmetry generates all atoms from Cs at (0.000, 0.000, 0.000), Cs at (0.000, 0.500, 0.000), Cs at (0.250, 0.250, 0.000), Ac at (0.000, 0.000, 0.500), Ac at (0.250, 0.250, 0.500), Pt at (0.000, 0.500, 0.500), O at (0.036, 0.295, 0.360), O at (0.202, 0.000, 0.673) and O at (0.208, 0.000, 0.274).

The crystal system is monoclinic. The volume is 22.678 Å³/atom. The raw total energy is -186.87 eV/cell. The calculation puts the total magnetization at 2.14 μB per cell. The density of states at the Fermi level comes out at 15.6 states/eV/cell.

no.,formation energy (no corrections) (eV per atom)
1,-2.115
2,-1.979
3,-1.516
4,-1.906
5,-1.363
6,-2.507
7,-2.485
8,-1.999